No. 1
Here is TbHoMnIn after structural relaxation from Alexandria. Energies are from PBE.

Unit cell a=7.351 b=7.351 c=7.351 alpha=90.00 beta=90.00 gamma=90.00
Space group F-43m (No. 216)
Inequivalent atoms, fractional coordinates:
Tb 0.000 0.000 0.000 x4
Ho 0.000 0.000 0.500 x4
Mn 0.250 0.250 0.750 x4
In 0.250 0.250 0.250 x4

Crystal system   cubic
E_tot   -5.376 eV/atom
V   24.82 Å³ per atom
Mass density   8.25 g cm⁻³
ΔE_f   -97 meV per atom
M_tot   13.54 μB per cell

---

No. 2
Here is GePd after structural relaxation from Alexandria. Energies are from PBE.

Unit cell a=3.173 b=3.173 c=3.173 alpha=90.00 beta=90.00 gamma=90.00
Space group Pm-3m (No. 221)
Inequivalent atoms, fractional coordinates:
Ge 0.000 0.000 0.000 x1
Pd 0.500 0.500 0.500 x1

Crystal system   cubic
E_tot   -5.163 eV/atom
V   15.97 Å³ per atom
Mass density   9.31 g cm⁻³
ΔE_f   -258 meV per atom
M_tot   0.00 μB per cell

---

No. 3
Here is NbTe2Br after structural relaxation from Alexandria. Energies are from PBE.

Unit cell a=7.327 b=7.327 c=11.289 alpha=90.00 beta=90.00 gamma=90.00
Space group I-42d (No. 122)
Inequivalent atoms, fractional coordinates:
Nb 0.000 0.000 0.000 x4
Te 0.176 0.250 0.125 x8
Br 0.000 0.000 0.500 x4

Crystal system   tetragonal
Relative energy among the computed polymorphs   359 meV/atom
E_tot   -4.451 eV/atom
V   37.88 Å³ per atom
Mass density   4.69 g cm⁻³
Formation energy (no corrections)   5.4 kJ per mole of atoms
M_tot   0.00 μB per cell

---

No. 4
Here is NaCoSiPd2 after structural relaxation from Alexandria. Energies are from PBE.

Unit cell a=4.607 b=4.607 c=4.704 alpha=90.00 beta=90.00 gamma=90.00
Space group P4/mmm (No. 123)
Inequivalent atoms, fractional coordinates:
Na 0.000 0.000 0.000 x1
Co 0.000 0.000 0.500 x1
Si 0.500 0.500 0.000 x1
Pd 0.000 0.500 0.500 x2

Crystal system   tetragonal
E_tot   -3.952 eV/atom
V   19.97 Å³ per atom
Mass density   5.37 g cm⁻³
Formation energy (no corrections)   86.4 kJ per mole of atoms
M_tot   2.49 μB per cell

---

No. 5
Here is Cs3YSb2O6 after structural relaxation from Alexandria. Energies are from PBE.

Unit cell a=6.3364 b=6.3364 c=7.9829 alpha=90.00 beta=90.00 gamma=120.00
Space group P-3m1 (No. 164)
Inequivalent atoms, fractional coordinates:
Cs 0.0000 0.0000 0.0000 x1
Cs 0.3333 0.6667 0.6751 x2
Y 0.0000 0.0000 0.5000 x1
Sb 0.3333 0.6667 0.2226 x2
O 0.1728 0.3455 0.3332 x6

Crystal system   trigonal
E_tot   -5.860 eV/atom
V   23.13 Å³ per atom
Mass density   4.95 g cm⁻³
Formation energy (no corrections)   -187.3 kJ per mole of atoms
M_tot   0.00 μB per cell

---

No. 6
Here is Co2Re after structural relaxation from Alexandria. Energies are from PBE.

Unit cell a=7.695 b=4.466 c=4.130 alpha=90.00 beta=90.00 gamma=90.00
Space group Cmcm (No. 63)
Inequivalent atoms, fractional coordinates:
Co 0.172 0.165 0.250 x8
Re 0.000 0.316 0.750 x4

Crystal system   orthorhombic
Relative energy among the computed polymorphs   0 meV/atom
E_tot   -8.936 eV/atom
V   11.83 Å³ per atom
Mass density   14.23 g cm⁻³
ΔE_f   -49 meV per atom
M_tot   2.54 μB per cell

---

No. 7
Here is CaTlAuSe after structural relaxation from Alexandria. Energies are from PBE.

Unit cell a=7.409 b=7.409 c=7.409 alpha=90.00 beta=90.00 gamma=90.00
Space group F-43m (No. 216)
Inequivalent atoms, fractional coordinates:
Ca 0.000 0.000 0.000 x4
Tl 0.000 0.000 0.500 x4
Au 0.250 0.250 0.250 x4
Se 0.250 0.250 0.750 x4

Crystal system   cubic
Relative energy among the computed polymorphs   128 meV/atom
E_tot   -3.506 eV/atom
V   25.42 Å³ per atom
Mass density   8.50 g cm⁻³
Formation energy (no corrections)   -69.8 kJ per mole of atoms
M_tot   0.00 μB per cell

---

No. 8
Here is Tl2AgGe2 after structural relaxation from Alexandria. Energies are from PBE.

Unit cell a=4.988 b=4.988 c=10.865 alpha=90.00 beta=90.00 gamma=90.00
Space group I4/mmm (No. 139)
Inequivalent atoms, fractional coordinates:
Tl 0.000 0.500 0.250 x4
Ag 0.000 0.000 0.000 x2
Ge 0.000 0.000 0.389 x4

Crystal system   tetragonal
Relative energy among the computed polymorphs   276 meV/atom
E_tot   -2.915 eV/atom
V   27.03 Å³ per atom
Mass density   8.13 g cm⁻³
ΔE_f   448 meV per atom
M_tot   0.00 μB per cell

---

No. 9
Here is Mg3Tc after structural relaxation from Alexandria. Energies are from PBE.

Unit cell a=4.056 b=4.056 c=17.271 alpha=90.00 beta=90.00 gamma=90.00
Space group I4/mmm (No. 139)
Inequivalent atoms, fractional coordinates:
Mg 0.000 0.000 0.127 x4
Mg 0.000 0.500 0.000 x4
Mg 0.000 0.500 0.250 x4
Tc 0.000 0.000 0.382 x4

Crystal system   tetragonal
E_tot   -3.613 eV/atom
V   17.76 Å³ per atom
Mass density   4.00 g cm⁻³
ΔE_f   174 meV per atom
M_tot   0.00 μB per cell

---

No. 10
Here is Er2ZnGa3 after structural relaxation from Alexandria. Energies are from PBE.

Unit cell a=7.175 b=8.779 c=15.101 alpha=90.00 beta=90.00 gamma=90.00
Space group Fmmm (No. 69)
Inequivalent atoms, fractional coordinates:
Er 0.249 0.000 0.000 x8
Er 0.250 0.250 0.250 x8
Zn 0.000 0.000 0.333 x8
Ga 0.000 0.000 0.167 x8
Ga 0.000 0.249 0.416 x16

Crystal system   orthorhombic
E_tot   -3.834 eV/atom
V   19.81 Å³ per atom
Mass density   8.51 g cm⁻³
ΔE_f   -588 meV per atom
M_tot   0.00 μB per cell

---

No. 11
Here is SrZrN2F after structural relaxation from Alexandria. Energies are from PBE.

Unit cell a=4.272 b=4.272 c=4.282 alpha=90.00 beta=90.00 gamma=90.00
Space group P4/mmm (No. 123)
Inequivalent atoms, fractional coordinates:
Sr 0.000 0.000 0.000 x1
Zr 0.500 0.500 0.500 x1
N 0.000 0.500 0.500 x2
F 0.500 0.500 0.000 x1

Crystal system   tetragonal
Relative energy among the computed polymorphs   0 meV/atom
E_tot   -7.308 eV/atom
V   15.63 Å³ per atom
Mass density   4.80 g cm⁻³
Formation energy (no corrections)   -150.3 kJ per mole of atoms
M_tot   0.00 μB per cell

---

No. 12
Here is CaAl2CdRh after structural relaxation from Alexandria. Energies are from PBE.

Unit cell a=4.765 b=4.765 c=5.452 alpha=90.00 beta=90.00 gamma=90.00
Space group P4/mmm (No. 123)
Inequivalent atoms, fractional coordinates:
Ca 0.000 0.000 0.000 x1
Al 0.000 0.500 0.500 x2
Cd 0.500 0.500 0.000 x1
Rh 0.000 0.000 0.500 x1

Crystal system   tetragonal
E_tot   -3.819 eV/atom
V   24.76 Å³ per atom
Mass density   4.15 g cm⁻³
ΔE_f   -268 meV per atom
M_tot   0.00 μB per cell

---

No. 13
Here is Zr2AgSe after structural relaxation from Alexandria. Energies are from PBE.

Unit cell a=3.335 b=4.695 c=5.471 alpha=90.00 beta=107.53 gamma=90.00
Space group Pm (No. 6)
Inequivalent atoms, fractional coordinates:
Zr 0.000 0.000 0.000 x1
Zr 0.253 0.500 0.513 x1
Ag 0.522 0.500 0.041 x1
Se 0.728 0.000 0.461 x1

Crystal system   monoclinic
E_tot   -6.285 eV/atom
V   20.42 Å³ per atom
Mass density   7.51 g cm⁻³
Formation energy (no corrections)   -41.2 kJ per mole of atoms
M_tot   0.00 μB per cell

---

No. 14
Here is Ce2GaSiPt6 after structural relaxation from Alexandria. Energies are from PBE.

Unit cell a=5.554 b=8.658 c=8.298 alpha=90.00 beta=90.00 gamma=90.00
Space group Pmmn (No. 59, origin choice 2)
Inequivalent atoms, fractional coordinates:
Ce 0.250 0.003 0.230 x4
Ga 0.250 0.750 0.772 x2
Si 0.250 0.250 0.745 x2
Pt 0.000 0.250 0.977 x4
Pt 0.001 0.750 0.505 x4
Pt 0.250 0.001 0.613 x4

Crystal system   orthorhombic
E_tot   -6.569 eV/atom
V   19.95 Å³ per atom
Mass density   12.89 g cm⁻³
Formation energy (no corrections)   -88.1 kJ per mole of atoms
M_tot   3.61 μB per cell

---

No. 15
Here is Pr5Dy4Y3 after structural relaxation from Alexandria. Energies are from PBE.

Unit cell a=9.863 b=5.872 c=15.090 alpha=90.00 beta=108.69 gamma=90.00
Space group C2/m (No. 12)
Inequivalent atoms, fractional coordinates:
Pr 0.000 0.000 0.000 x2
Pr 0.048 0.500 0.247 x4
Pr 0.168 0.500 0.498 x4
Dy 0.061 0.000 0.624 x4
Dy 0.175 0.000 0.856 x4
Y 0.000 0.500 0.000 x2
Y 0.207 0.000 0.249 x4

Crystal system   monoclinic
E_tot   -4.917 eV/atom
V   34.49 Å³ per atom
Mass density   6.50 g cm⁻³
ΔE_f   225 meV per atom
M_tot   0.00 μB per cell

---

No. 16
Here is LaPm2Dy12 after structural relaxation from Alexandria. Energies are from PBE.

Unit cell a=7.038 b=11.326 c=24.996 alpha=90.00 beta=90.00 gamma=90.00
Space group Cmme (No. 67)
Inequivalent atoms, fractional coordinates:
La 0.000 0.250 0.001 x4
Pm 0.000 0.250 0.273 x4
Pm 0.000 0.250 0.732 x4
Dy 0.000 0.002 0.918 x8
Dy 0.000 0.013 0.439 x8
Dy 0.239 0.250 0.584 x8
Dy 0.249 0.250 0.131 x8
Dy 0.250 0.000 0.202 x8
Dy 0.250 0.000 0.329 x8

Crystal system   orthorhombic
E_tot   -4.478 eV/atom
V   33.21 Å³ per atom
Mass density   7.93 g cm⁻³
ΔE_f   165 meV per atom
M_tot   0.00 μB per cell

---

No. 17
Here is KPmHg2 after structural relaxation from Alexandria. Energies are from PBE.

Unit cell a=3.867 b=3.867 c=8.415 alpha=90.00 beta=90.00 gamma=90.00
Space group P4/mmm (No. 123)
Inequivalent atoms, fractional coordinates:
K 0.000 0.000 0.000 x1
Pm 0.000 0.000 0.500 x1
Hg 0.500 0.500 0.291 x2

Crystal system   tetragonal
E_tot   -1.913 eV/atom
V   31.46 Å³ per atom
Mass density   7.72 g cm⁻³
ΔE_f   -300 meV per atom
M_tot   0.30 μB per cell

---

No. 18
Here is TaHg2Rh after structural relaxation from Alexandria. Energies are from PBE.

Unit cell a=9.407 b=2.943 c=5.436 alpha=90.00 beta=98.24 gamma=90.00
Space group Cm (No. 8)
Inequivalent atoms, fractional coordinates:
Ta 0.000 0.000 0.000 x2
Hg 0.249 0.000 0.722 x2
Hg 0.489 0.000 0.467 x2
Rh 0.240 0.500 0.177 x2

Crystal system   monoclinic
Relative energy among the computed polymorphs   198 meV/atom
E_tot   -4.747 eV/atom
V   18.62 Å³ per atom
Mass density   15.27 g cm⁻³
ΔE_f   205 meV per atom
M_tot   0.00 μB per cell

---

No. 19
Here is Ca2Cd3Au2 after structural relaxation from Alexandria. Energies are from PBE.

Unit cell a=10.586 b=4.343 c=7.509 alpha=90.00 beta=96.27 gamma=90.00
Space group C2/m (No. 12)
Inequivalent atoms, fractional coordinates:
Ca 0.120 0.000 0.345 x4
Cd 0.000 0.500 0.000 x2
Cd 0.194 0.000 0.871 x4
Au 0.095 0.500 0.646 x4

Crystal system   monoclinic
Relative energy among the computed polymorphs   28 meV/atom
E_tot   -2.399 eV/atom
V   24.51 Å³ per atom
Mass density   7.85 g cm⁻³
ΔE_f   -499 meV per atom
M_tot   0.00 μB per cell

---

No. 20
Here is Tl3VSn after structural relaxation from Alexandria. Energies are from PBE.

Unit cell a=5.754 b=5.754 c=5.754 alpha=90.00 beta=90.00 gamma=90.00
Space group Pm-3m (No. 221)
Inequivalent atoms, fractional coordinates:
Tl 0.000 0.000 0.500 x3
V 0.500 0.500 0.500 x1
Sn 0.000 0.000 0.000 x1

Crystal system   cubic
Relative energy among the computed polymorphs   440 meV/atom
E_tot   -3.039 eV/atom
V   38.09 Å³ per atom
Mass density   6.82 g cm⁻³
ΔE_f   1005 meV per atom
M_tot   4.08 μB per cell

---

No. 21
Here is Pu4Pd2O after structural relaxation from Alexandria. Energies are from PBE.

Unit cell a=4.617 b=4.617 c=15.300 alpha=90.00 beta=90.00 gamma=90.00
Space group I4/mmm (No. 139)
Inequivalent atoms, fractional coordinates:
Pu 0.000 0.000 0.183 x4
Pu 0.000 0.500 0.000 x4
Pd 0.000 0.000 0.368 x4
O 0.000 0.000 0.000 x2

Crystal system   tetragonal
E_tot   -11.166 eV/atom
V   23.30 Å³ per atom
Mass density   12.27 g cm⁻³
Formation energy (no corrections)   -75.6 kJ per mole of atoms
M_tot   46.26 μB per cell

---

No. 22
Here is Na2InGa after structural relaxation from Alexandria. Energies are from PBE.

Unit cell a=8.586 b=8.586 c=5.982 alpha=90.00 beta=90.00 gamma=90.00
Space group I-42d (No. 122)
Inequivalent atoms, fractional coordinates:
Na 0.232 0.250 0.125 x8
In 0.000 0.000 0.500 x4
Ga 0.000 0.000 0.000 x4

Crystal system   tetragonal
Relative energy among the computed polymorphs   194 meV/atom
E_tot   -2.002 eV/atom
V   27.56 Å³ per atom
Mass density   3.47 g cm⁻³
ΔE_f   99 meV per atom
M_tot   0.00 μB per cell

---

No. 23
Here is Tc2Sn2S after structural relaxation from Alexandria. Energies are from PBE.

Unit cell a=6.432 b=6.432 c=4.376 alpha=90.00 beta=90.00 gamma=90.00
Space group P4/mbm (No. 127)
Inequivalent atoms, fractional coordinates:
Tc 0.159 0.341 0.000 x4
Sn 0.159 0.659 0.500 x4
S 0.000 0.000 0.000 x2

Crystal system   tetragonal
E_tot   -6.349 eV/atom
V   18.10 Å³ per atom
Mass density   8.54 g cm⁻³
Formation energy (no corrections)   21.7 kJ per mole of atoms
M_tot   0.00 μB per cell

---

No. 24
Here is Mn2Co2Pb after structural relaxation from Alexandria. Energies are from PBE.

Unit cell a=3.895 b=2.993 c=7.033 alpha=90.00 beta=105.87 gamma=90.00
Space group P2/m (No. 10)
Inequivalent atoms, fractional coordinates:
Mn 0.166 0.000 0.331 x2
Co 0.311 0.500 0.623 x2
Pb 0.500 0.500 0.000 x1

Crystal system   monoclinic
E_tot   -6.936 eV/atom
V   15.77 Å³ per atom
Mass density   9.16 g cm⁻³
ΔE_f   316 meV per atom
M_tot   7.91 μB per cell